The following is a PBE with a Hubbard U calculation of CrPbF after structural relaxation, from the Alexandria database.

a = 3.3371 Å, b = 5.5146 Å, c = 7.8896 Å
α = 121.05°, β = 91.85°, γ = 89.83°
Closest atoms and distances in Å follow each position.
Element x y z (fractional)
1 F 0.7398 0.4754 0.8588  3 Cr 2.13-2.32
2 Pb 0.7505 0.1787 0.3989  2 Cr 3.08-3.37, 1 F 3.12, 3 Pb 3.34-3.45
3 Pb 0.2495 0.8213 0.6011  2 Cr 3.08-3.37, 1 F 3.12, 3 Pb 3.34-3.45
4 F 0.2602 0.5246 0.1412  3 Cr 2.13-2.32
5 Cr 0.2467 0.7569 0.9665  3 F 2.13-2.32
6 Cr 0.7533 0.2431 0.0335  3 F 2.13-2.32

Values from the calculation:
**E**: -5.24 eV per atom
**Magnetization**: 4.34 μB per formula unit
**Distance to the lowest polymorph of the same formula**: 33 meV per atom
**Crystal system**: triclinic
**Symmetry**: P-1 (2)